1.
Compound: SrScCuTe3
Source: the Open Quantum Materials Database
Functional: GGA-PBE
Structure: optimized geometry

```
data_SrScCuTe3
_chemical_formula_sum 'Sr2 Sc2 Cu2 Te6'
_cell_length_a 8.241
_cell_length_b 4.211
_cell_length_c 10.321
_cell_angle_alpha 90.00
_cell_angle_beta 106.70
_cell_angle_gamma 90.00
_symmetry_space_group_name_H-M 'P 1 21/m 1'
_symmetry_Int_Tables_number 11
loop_
_symmetry_equiv_pos_as_xyz
'x,y,z'
'-x,-y,-z'
'-x,y+1/2,-z'
'x,-y+1/2,z'
loop_
_atom_site_label
_atom_site_fract_x
_atom_site_fract_y
_atom_site_fract_z
Sr1 0.245 0.250 0.296
Sc1 0.307 0.750 0.837
Cu1 0.076 0.250 0.589
Te1 0.067 0.250 0.844
Te2 0.259 0.750 0.548
Te3 0.434 0.750 0.137
```

Properties
The value obtained for the raw total energy is -4.64 eV/atom.


2.
Compound: PrHo2Cd3Ir2Pt
Source: the Open Quantum Materials Database
Functional: GGA-PBE
Structure: optimized geometry

```
data_PrHo2Cd3Ir2Pt
_chemical_formula_sum 'Pr2 Ho4 Cd6 Ir4 Pt2'
_cell_length_a 3.987
_cell_length_b 13.083
_cell_length_c 7.514
_cell_angle_alpha 90.00
_cell_angle_beta 90.00
_cell_angle_gamma 90.00
_symmetry_space_group_name_H-M 'A m m 2'
_symmetry_Int_Tables_number 38
loop_
_symmetry_equiv_pos_as_xyz
'x,y,z'
'-x,-y,z'
'-x,y,z'
'x,-y,z'
'x,y+1/2,z+1/2'
'-x,-y+1/2,z+1/2'
'-x,y+1/2,z+1/2'
'x,-y+1/2,z+1/2'
loop_
_atom_site_label
_atom_site_fract_x
_atom_site_fract_y
_atom_site_fract_z
Pr1 0.000 0.000 0.000
Ho1 0.000 0.204 0.613
Cd1 0.500 0.000 0.667
Cd2 0.500 0.129 0.282
Ir1 0.500 0.171 0.908
Pt1 0.000 0.000 0.416
```

Properties
The value obtained for the formation energy is -0.64 eV per atom.


3.
Compound: PrNdSm2Se3O4
Source: the Open Quantum Materials Database
Functional: GGA-PBE
Structure: optimized geometry

```
data_PrNdSm2Se3O4
_chemical_formula_sum 'Pr2 Nd2 Sm4 Se6 O8'
_cell_length_a 8.408
_cell_length_b 3.993
_cell_length_c 12.906
_cell_angle_alpha 90.00
_cell_angle_beta 90.00
_cell_angle_gamma 90.00
_symmetry_space_group_name_H-M 'A m m 2'
_symmetry_Int_Tables_number 38
loop_
_symmetry_equiv_pos_as_xyz
'x,y,z'
'-x,-y,z'
'-x,y,z'
'x,-y,z'
'x,y+1/2,z+1/2'
'-x,-y+1/2,z+1/2'
'-x,y+1/2,z+1/2'
'x,-y+1/2,z+1/2'
loop_
_atom_site_label
_atom_site_fract_x
_atom_site_fract_y
_atom_site_fract_z
Pr1 0.000 0.000 0.000
Nd1 0.500 0.000 0.018
Sm1 0.238 0.000 0.684
Se1 0.000 0.000 0.312
Se2 0.349 0.000 0.356
O1 0.000 0.000 0.592
O2 0.245 0.000 0.091
O3 0.500 0.000 0.618
```

Properties
The value obtained for the raw total energy is -7.24 eV/atom.


4.
Compound: ThNiHg
Source: the Open Quantum Materials Database
Functional: GGA-PBE
Structure: optimized geometry

```
data_ThNiHg
_chemical_formula_sum 'Th4 Ni4 Hg4'
_cell_length_a 3.718
_cell_length_b 16.891
_cell_length_c 4.177
_cell_angle_alpha 90.00
_cell_angle_beta 90.00
_cell_angle_gamma 90.00
_symmetry_space_group_name_H-M 'C m c m'
_symmetry_Int_Tables_number 63
_symmetry_space_group_name_Hall '-C 2c 2'
loop_
_atom_site_label
_atom_site_fract_x
_atom_site_fract_y
_atom_site_fract_z
Th1 0.000 0.092 0.250
Ni1 0.000 0.456 0.250
Hg1 0.000 0.294 0.250
```

Properties
The value obtained for the formation energy is -0.45 eV per atom.


5.
Compound: InHg3PdSe4
Source: the Open Quantum Materials Database
Functional: GGA-PBE
Structure: optimized geometry

```
data_InHg3PdSe4
_chemical_formula_sum 'In1 Hg3 Pd1 Se4'
_cell_length_a 6.356
_cell_length_b 6.356
_cell_length_c 6.356
_cell_angle_alpha 90.00
_cell_angle_beta 90.00
_cell_angle_gamma 90.00
_symmetry_space_group_name_H-M 'P -4 3 m'
_symmetry_Int_Tables_number 215
_symmetry_space_group_name_Hall 'P -4 2 3'
loop_
_atom_site_label
_atom_site_fract_x
_atom_site_fract_y
_atom_site_fract_z
In1 0.000 0.000 0.000
Hg1 0.000 0.500 0.500
Pd1 0.500 0.500 0.500
Se1 0.246 0.246 0.246
```

Properties
The value obtained for the raw total energy is -2.64 eV/atom.


6.
Compound: TbBOs
Source: the Open Quantum Materials Database
Functional: GGA-PBE
Structure: optimized geometry

```
data_TbBOs
_chemical_formula_sum 'Tb4 B4 Os4'
_cell_length_a 5.815
_cell_length_b 5.815
_cell_length_c 5.815
_cell_angle_alpha 90.00
_cell_angle_beta 90.00
_cell_angle_gamma 90.00
_symmetry_space_group_name_H-M 'F -4 3 m'
_symmetry_Int_Tables_number 216
_symmetry_space_group_name_Hall 'F -4 2 3'
loop_
_atom_site_label
_atom_site_fract_x
_atom_site_fract_y
_atom_site_fract_z
Tb1 0.000 0.000 0.000
B1 0.250 0.250 0.750
Os1 0.000 0.000 0.500
```

Properties
The value obtained for the raw total energy is -7.29 eV/atom.